# Na3LiPb2

Na3LiPb2 after structural relaxation (GGA-PBE, Alexandria via LeMat-Bulk).

Cell lengths 3.4214, 5.5075, 9.1723 Å; angles 107.47, 90.00, 90.00 degrees
Closest atoms and distances in Å follow each position.
Fractional positions:
Pb 0.5000 0.1340 0.2680  2 Li 2.90
Li 0.0000 0.0000 0.0000  4 Pb 2.90, 4 Na 3.24
Na 0.0000 0.3074 0.6149  6 Pb 3.40-3.48, 6 Na 3.41-3.78
Na 0.5000 0.5000 0.0000  4 Li 3.24, 2 Na 3.42, 4 Pb 3.62
Na 0.0000 0.6926 0.3851  6 Pb 3.40-3.48, 6 Na 3.41-3.78
Pb 0.5000 0.8660 0.7320  2 Li 2.90

---

# NaLiPb

NaLiPb after structural relaxation (GGA-PBE, Alexandria via LeMat-Bulk).

Cell lengths 3.7230, 3.7230, 13.9277 Å; angles 90.00, 90.00, 120.00 degrees
Closest atoms and distances in Å follow each position.
Fractional positions:
Pb 0.3333 0.6667 0.8030  3 Li 2.89
Pb 0.6667 0.3333 0.1970  3 Li 2.89
Na 0.0000 0.0000 0.3753  3 Pb 3.28, 1 Na 3.47
Li 0.6667 0.3333 0.9421  3 Li 2.69, 3 Pb 2.89
Na 0.0000 0.0000 0.6247  3 Pb 3.28, 1 Na 3.47
Li 0.3333 0.6667 0.0579  3 Li 2.69, 3 Pb 2.89

---

# Na2LiPb4

Na2LiPb4 after structural relaxation (GGA-PBE, Alexandria via LeMat-Bulk).

Cell lengths 5.1422, 6.3093, 8.1914 Å; angles 112.65, 90.00, 90.00 degrees
Closest atoms and distances in Å follow each position.
Fractional positions:
Na 0.5000 0.1366 0.2733  4 Pb 3.19-3.33
Li 0.0000 0.5000 0.0000  4 Pb 3.01
Na 0.5000 0.8634 0.7267  4 Pb 3.19-3.33
Pb 0.0000 0.7229 0.4459  4 Pb 3.14-3.26, 2 Na 3.33, 1 Li 3.37
Pb 0.5000 0.3968 0.7936  2 Li 3.01, 3 Pb 3.12-3.14, 2 Na 3.19
Pb 0.0000 0.2771 0.5541  4 Pb 3.14-3.26, 2 Na 3.33, 1 Li 3.37
Pb 0.5000 0.6032 0.2064  2 Li 3.01, 3 Pb 3.12-3.14, 2 Na 3.19

---

# Na2LiPb5

Na2LiPb5 after structural relaxation (GGA-PBE, Alexandria via LeMat-Bulk).

Cell lengths 5.2441, 6.9273, 6.9273 Å; angles 90.00, 90.00, 90.00 degrees
Closest atoms and distances in Å follow each position.
Fractional positions:
Na 0.5000 0.0000 0.5000  10 Pb 3.46-3.60
Na 0.5000 0.5000 0.0000  10 Pb 3.46-3.60
Pb 0.0000 0.2747 0.2747  1 Li 2.69
Pb 0.0000 0.7253 0.2747  1 Li 2.69
Li 0.0000 0.0000 0.0000  6 Pb 2.62-2.69
Pb 0.5000 0.0000 0.0000  2 Li 2.62
Pb 0.0000 0.7253 0.7253  1 Li 2.69
Pb 0.0000 0.2747 0.7253  1 Li 2.69

---

# NaLi6Pb

NaLi6Pb after structural relaxation (GGA-PBE, Alexandria via LeMat-Bulk).

Cell lengths 4.9399, 6.2036, 6.2036 Å; angles 120.01, 90.00, 90.00 degrees
Closest atoms and distances in Å follow each position.
Fractional positions:
Na 0.5000 0.4160 0.5840  12 Li 3.10-3.11
Li 0.0000 0.5933 0.9365  6 Li 2.92-3.05, 2 Pb 3.10-3.11, 2 Na 3.11
Li 0.5000 0.4005 0.0755  8 Li 2.94-3.26, 2 Pb 3.00, 2 Na 3.10-3.11
Li 0.5000 0.9245 0.5995  8 Li 2.94-3.26, 2 Pb 3.00, 2 Na 3.10-3.11
Pb 0.0000 0.0837 0.9163  12 Li 3.00-3.11
Li 0.0000 0.0635 0.4067  6 Li 2.92-3.05, 2 Pb 3.10-3.11, 2 Na 3.11
Li 0.0000 0.5923 0.4077  8 Li 2.93-3.28, 2 Pb 3.10, 2 Na 3.11
Li 0.5000 0.9258 0.0742  8 Li 2.94-3.26, 2 Pb 3.00, 2 Na 3.10

---

# Na8Li2Pb

Na8Li2Pb after structural relaxation (GGA-PBE, Alexandria via LeMat-Bulk).

Cell lengths 5.5677, 9.0050, 9.0050 Å; angles 59.50, 80.81, 80.81 degrees
Closest atoms and distances in Å follow each position.
Fractional positions:
Na 0.7966 0.2349 0.6230  1 Li 3.21, 1 Pb 3.23, 4 Na 3.45-3.57
Na 0.0957 0.7905 0.7905  1 Pb 3.22, 2 Li 3.23-3.44, 2 Na 3.40-3.43
Na 0.9043 0.2095 0.2095  1 Pb 3.22, 2 Li 3.23-3.44, 2 Na 3.40-3.43
Na 0.2034 0.7651 0.3770  1 Li 3.21, 1 Pb 3.23, 4 Na 3.45-3.57
Na 0.7966 0.6230 0.2349  1 Li 3.21, 1 Pb 3.23, 4 Na 3.45-3.57
Na 0.3408 0.3384 0.3384  6 Na 3.40-3.57
Pb 0.0000 0.0000 0.0000  2 Li 2.93, 6 Na 3.22-3.23
Li 0.5106 0.9100 0.9100  1 Li 2.79, 1 Pb 2.93
Na 0.2034 0.3770 0.7651  1 Li 3.21, 1 Pb 3.23, 4 Na 3.45-3.57
Na 0.6592 0.6616 0.6616  6 Na 3.40-3.57
Li 0.4894 0.0900 0.0900  1 Li 2.79, 1 Pb 2.93

---

# NaLiPb3

NaLiPb3 after structural relaxation (GGA-PBE, Alexandria via LeMat-Bulk).

Cell lengths 4.8198, 4.8272, 7.3992 Å; angles 70.89, 70.81, 90.02 degrees
Closest atoms and distances in Å follow each position.
Fractional positions:
Pb 0.8113 0.6137 0.0863  1 Li 2.75
Pb 0.6471 0.9514 0.4094  2 Li 2.94, 2 Pb 3.21
Na 0.3851 0.1868 0.9383  8 Pb 3.54-3.93, 4 Li 3.83-3.86
Pb 0.1471 0.4510 0.4102  2 Li 2.94, 2 Pb 3.21
Li 0.0172 0.8222 0.6669  5 Pb 2.75-2.94

---

# Na12LiPb7

Na12LiPb7 after structural relaxation (GGA-PBE, Alexandria via LeMat-Bulk).

Cell lengths 11.0718, 11.0718, 11.0718 Å; angles 116.31, 116.31, 116.31 degrees
Closest atoms and distances in Å follow each position.
Fractional positions:
Na 0.9966 0.6175 0.1666  3 Pb 3.25-3.42, 4 Na 3.49-3.59
Na 0.5077 0.8428 0.5658  5 Pb 3.26-3.62, 2 Na 3.59-3.65
Li 0.0000 0.0000 0.0000  8 Pb 2.97-3.23
Pb 0.0210 0.3094 0.0918  1 Li 2.97, 5 Na 3.25-3.30
Na 0.6175 0.1666 0.9966  3 Pb 3.25-3.42, 4 Na 3.49-3.59
Na 0.5658 0.5077 0.8428  5 Pb 3.26-3.62, 2 Na 3.59-3.65
Pb 0.3094 0.0918 0.0210  1 Li 2.97, 5 Na 3.25-3.30
Na 0.8428 0.5658 0.5077  5 Pb 3.26-3.62, 2 Na 3.59-3.65
Pb 0.9082 0.9790 0.6906  1 Li 2.97, 5 Na 3.25-3.30
Na 0.4342 0.4923 0.1572  5 Pb 3.26-3.62, 2 Na 3.59-3.65
Na 0.8334 0.0034 0.3825  3 Pb 3.25-3.42, 4 Na 3.49-3.59
Pb 0.6906 0.9082 0.9790  1 Li 2.97, 5 Na 3.25-3.30
Pb 0.0918 0.0210 0.3094  1 Li 2.97, 5 Na 3.25-3.30
Na 0.1666 0.9966 0.6175  3 Pb 3.25-3.42, 4 Na 3.49-3.59
Pb 0.9790 0.6906 0.9082  1 Li 2.97, 5 Na 3.25-3.30
Na 0.4923 0.1572 0.4342  5 Pb 3.26-3.62, 2 Na 3.59-3.65
Pb 0.5000 0.5000 0.5000  2 Li 3.23, 6 Na 3.49
Na 0.1572 0.4342 0.4923  5 Pb 3.26-3.62, 2 Na 3.59-3.65
Na 0.0034 0.3825 0.8334  3 Pb 3.25-3.42, 4 Na 3.49-3.59
Na 0.3825 0.8334 0.0034  3 Pb 3.25-3.42, 4 Na 3.49-3.59

---

# NaLi5Pb6

NaLi5Pb6 after structural relaxation (GGA-PBE, Alexandria via LeMat-Bulk).

Cell lengths 5.0452, 7.3461, 8.8411 Å; angles 113.64, 106.80, 89.92 degrees
Closest atoms and distances in Å follow each position.
Fractional positions:
Li 0.6620 0.1626 0.3253  8 Pb 3.02-3.36
Pb 0.8404 0.5718 0.6739  7 Li 3.02-3.21, 1 Na 3.20
Li 0.6709 0.6754 0.3428  8 Pb 3.01-3.23
Li 0.3291 0.3246 0.6572  8 Pb 3.01-3.23
Pb 0.1787 0.9194 0.3534  7 Li 3.01-3.27, 1 Na 3.28, 1 Pb 3.37
Pb 0.4875 0.7166 0.9780  6 Li 3.02-3.36, 2 Na 3.22-3.23, 1 Pb 3.35
Pb 0.8213 0.0806 0.6466  7 Li 3.01-3.27, 1 Na 3.28, 1 Pb 3.37
Pb 0.5125 0.2834 0.0220  6 Li 3.02-3.36, 2 Na 3.22-3.23, 1 Pb 3.35
Li 0.3380 0.8374 0.6747  8 Pb 3.02-3.36
Pb 0.1596 0.4282 0.3261  7 Li 3.02-3.21, 1 Na 3.20
Li 0.0000 0.5000 0.0000  8 Pb 3.02-3.27
Na 0.0000 0.0000 0.0000  8 Pb 3.20-3.28, 4 Li 3.54-3.56

---

# NaLi4Pb5

NaLi4Pb5 after structural relaxation (GGA-PBE, Alexandria via LeMat-Bulk).

Cell lengths 3.5877, 3.5877, 18.4459 Å; angles 90.00, 90.00, 90.00 degrees
Closest atoms and distances in Å follow each position.
Fractional positions:
Pb 0.5000 0.5000 0.1208  4 Li 3.08, 4 Na 3.38
Pb 0.5000 0.5000 0.5000  8 Li 3.09
Li 0.0000 0.0000 0.4048  8 Pb 3.09
Li 0.0000 0.0000 0.7845  8 Pb 3.07-3.08
Li 0.0000 0.0000 0.2155  8 Pb 3.07-3.08
Pb 0.5000 0.5000 0.3096  8 Li 3.07-3.09
Li 0.0000 0.0000 0.5952  8 Pb 3.09
Na 0.0000 0.0000 0.0000  8 Pb 3.38, 4 Na 3.59
Pb 0.5000 0.5000 0.8792  4 Li 3.08, 4 Na 3.38
Pb 0.5000 0.5000 0.6904  8 Li 3.07-3.09

---

# Na3Li2Pb2

Na3Li2Pb2 after structural relaxation (GGA-PBE, Alexandria via LeMat-Bulk).

Cell lengths 5.2534, 5.2534, 7.8341 Å; angles 89.84, 109.69, 120.12 degrees
Closest atoms and distances in Å follow each position.
Fractional positions:
Na 0.7044 0.8525 0.5569  1 Li 3.05, 4 Na 3.14-3.20, 3 Pb 3.27
Li 0.4238 0.7110 0.1348  4 Pb 2.94-3.19, 4 Na 3.05-3.19
Li 0.5762 0.2890 0.8652  4 Pb 2.94-3.19, 4 Na 3.05-3.19
Na 0.2956 0.1475 0.4431  1 Li 3.05, 4 Na 3.14-3.20, 3 Pb 3.27
Na 0.0000 0.0000 0.0000  6 Li 3.18-3.19, 2 Na 3.20
Pb 0.1513 0.5762 0.7276  4 Li 2.94-3.19, 3 Na 3.27, 1 Pb 3.29
Pb 0.8487 0.4238 0.2724  4 Li 2.94-3.19, 3 Na 3.27, 1 Pb 3.29

---

# Na2LiPb8

Na2LiPb8 after structural relaxation (GGA-PBE, Alexandria via LeMat-Bulk).

Cell lengths 4.9096, 4.9096, 13.3009 Å; angles 90.00, 90.00, 90.00 degrees
Closest atoms and distances in Å follow each position.
Fractional positions:
Pb 0.5000 0.0000 0.1286  2 Li 2.99
Li 0.0000 0.0000 0.0000  8 Pb 2.99
Pb 0.5000 0.5000 0.3094  8 Pb 3.44-3.53, 4 Na 3.47
Na 0.0000 0.0000 0.6888  12 Pb 3.45-3.51
Pb 0.0000 0.5000 0.1286  2 Li 2.99
Pb 0.5000 0.0000 0.5000  8 Pb 3.47-3.53, 4 Na 3.51
Pb 0.5000 0.5000 0.6906  8 Pb 3.44-3.53, 4 Na 3.47
Pb 0.0000 0.5000 0.8714  2 Li 2.99
Na 0.0000 0.0000 0.3112  12 Pb 3.45-3.51
Pb 0.0000 0.5000 0.5000  8 Pb 3.47-3.53, 4 Na 3.51
Pb 0.5000 0.0000 0.8714  2 Li 2.99

---

| no. | formation energy (eV per atom) |
| --- | --- |
| 1 | -0.169 |
| 2 | -0.056 |
| 3 | -0.012 |
| 4 | -0.001 |
| 5 | -0.130 |
| 6 | 0.014 |
| 7 | -0.097 |
| 8 | -0.104 |
| 9 | -0.238 |
| 10 | -0.240 |
| 11 | -0.189 |
| 12 | -0.107 |